The following is a PBEsol calculation of a relaxed structure of NaHCN2, from the Alexandria database.

Lattice parameters (Å, degrees): 3.434 10.385 6.451 90.00 90.00 90.00
Atoms (fractional coordinates):
Na: 0.236 0.250 0.000
Na: 0.236 0.250 0.500
Na: 0.764 0.750 0.000
Na: 0.764 0.750 0.500
H: 0.183 0.590 0.250
H: 0.183 0.910 0.750
H: 0.817 0.090 0.250
H: 0.817 0.410 0.750
C: 0.191 0.549 0.750
C: 0.191 0.951 0.250
C: 0.809 0.049 0.750
C: 0.809 0.451 0.250
N: 0.112 0.071 0.250
N: 0.112 0.429 0.750
N: 0.293 0.659 0.750
N: 0.293 0.841 0.250
N: 0.707 0.159 0.750
N: 0.707 0.341 0.250
N: 0.888 0.571 0.250
N: 0.888 0.929 0.750

Calculated values
- E: -6.60 eV/atom
- Space group: Pbcm
- M_tot: 0.00 μB per formula unit